1.
## TmZrTl (PBE)

Data for crystalline TmZrTl at its relaxed geometry.

Energy relative to the lowest polymorph listed for this composition   0.00 eV per formula unit
Size of the total moment   0.00 μB per cell
Symmetry   No. 139
Volume   25.96 Å³ per atom
Formation energy   -0.1913 eV per atom

Geometry as POSCAR:
```
TmZrTl
1.0
-2.176 2.176 8.224
2.176 -2.176 8.224
2.176 2.176 -8.224
Tm Zr Tl
2 2 2
direct
0.173 0.173 0.000
0.827 0.827 0.000
0.000 0.500 0.500
0.500 0.000 0.500
0.364 0.364 0.000
0.636 0.636 0.000
```



2.
## TmZr2Tl3 (PBE)

Data for crystalline TmZr2Tl3 at its relaxed geometry.

Size of the total moment   0.43 μB per cell
Symmetry   No. 123
Volume   23.86 Å³ per atom
Formation energy   -0.1227 eV per atom

Geometry as POSCAR:
```
TmZr2Tl3
1.0
3.286 0.000 0.000
0.000 3.286 0.000
0.000 0.000 13.255
Tm Zr Tl
1 2 3
direct
0.000 0.000 0.000
0.000 0.000 0.338
0.000 0.000 0.662
0.500 0.500 0.173
0.500 0.500 0.500
0.500 0.500 0.827
```



3.
## TmZr7Tl4 (PBE)

Data for crystalline TmZr7Tl4 at its relaxed geometry.

Size of the total moment   0.99 μB per cell
Symmetry   No. 12
Volume   25.01 Å³ per atom
Formation energy   0.2439 eV per atom

Geometry as POSCAR:
```
TmZr7Tl4
1.0
5.732 -2.732 0.000
5.732 2.732 0.000
-5.713 0.000 9.579
Tm Zr Tl
1 7 4
direct
0.000 0.000 0.000
0.036 0.036 0.377
0.219 0.219 0.904
0.353 0.353 0.446
0.500 0.500 0.000
0.647 0.647 0.554
0.781 0.781 0.096
0.964 0.964 0.623
0.284 0.284 0.677
0.408 0.408 0.219
0.592 0.592 0.781
0.716 0.716 0.323
```